(1)
The following is a DFT calculation (PBE) of a relaxed structure of CsK3Zn4Br12.

Cell: 9.982 9.982 9.982 Å, 102.24 102.24 102.24°
Element x y z (fractional)
Cs (0.000, 0.000, 0.000)
K (0.000, 0.542, 0.458)
K (0.458, 0.000, 0.542)
K (0.542, 0.458, 0.000)
Zn (0.051, 0.500, 0.949)
Zn (0.500, 0.500, 0.500)
Zn (0.500, 0.949, 0.051)
Zn (0.949, 0.051, 0.500)
Br (0.051, 0.658, 0.805)
Br (0.100, 0.900, 0.500)
Br (0.195, 0.342, 0.949)
Br (0.342, 0.949, 0.195)
Br (0.349, 0.651, 0.500)
Br (0.500, 0.100, 0.900)
Br (0.500, 0.349, 0.651)
Br (0.651, 0.500, 0.349)
Br (0.658, 0.805, 0.051)
Br (0.805, 0.051, 0.658)
Br (0.900, 0.500, 0.100)
Br (0.949, 0.195, 0.342)

Values from the calculation:
theoretical density	2.67	Mg/m³
raw total energy	-2.67	eV/atom
E_form (uncorrected)	-1.206	eV per atom

***

(2)
The following is a DFT calculation (PBE) of a relaxed structure of Al2CrHg.

Cell: 5.031 5.031 5.031 Å, 133.72 133.72 67.52°
Element x y z (fractional)
Al (0.250, 0.750, 0.500)
Al (0.750, 0.250, 0.500)
Cr (0.000, 0.000, 0.000)
Hg (0.500, 0.500, 0.000)

Values from the calculation:
theoretical density	7.78	Mg/m³
raw total energy	-4.16	eV/atom
calculated formation energy	0.191	eV per atom

***

(3)
The following is a DFT calculation (PBE) of a relaxed structure of SmHo4Au5.

Cell: 3.571 3.571 18.301 Å, 90.00 90.00 90.00°
Element x y z (fractional)
Sm (0.000, 0.000, 0.000)
Ho (0.000, 0.000, 0.203)
Ho (0.000, 0.000, 0.401)
Ho (0.000, 0.000, 0.599)
Ho (0.000, 0.000, 0.797)
Au (0.500, 0.500, 0.108)
Au (0.500, 0.500, 0.302)
Au (0.500, 0.500, 0.500)
Au (0.500, 0.500, 0.698)
Au (0.500, 0.500, 0.892)

Values from the calculation:
theoretical density	12.77	Mg/m³
raw total energy	-4.80	eV/atom
calculated formation energy	-0.859	eV per atom

***

(4)
The following is a DFT calculation (PBE) of a relaxed structure of V3AuC.

Cell: 4.816 4.816 4.816 Å, 90.00 90.00 90.00°
Element x y z (fractional)
V (0.000, 0.000, 0.500)
V (0.000, 0.500, 0.000)
V (0.500, 0.000, 0.000)
Au (0.000, 0.000, 0.000)
C (0.500, 0.500, 0.500)

Values from the calculation:
theoretical density	5.38	Mg/m³
raw total energy	-5.41	eV/atom
calculated formation energy	2.563	eV per atom
energy relative to the lowest polymorph listed for this composition	2836	meV/atom

***

(5)
The following is a DFT calculation (PBE) of a relaxed structure of BaCrIn.

Cell: 5.083 5.083 4.400 Å, 90.00 90.00 120.00°
Element x y z (fractional)
Ba (0.000, 0.000, 0.000)
Cr (0.667, 0.333, 0.500)
In (0.333, 0.667, 0.500)

Values from the calculation:
theoretical density	5.13	Mg/m³
raw total energy	-4.51	eV/atom
calculated formation energy	0.249	eV per atom

***

(6)
The following is a DFT calculation (PBE) of a relaxed structure of TlH6Rh2Pb.

Cell: 7.260 7.260 5.580 Å, 102.02 102.02 115.18°
Element x y z (fractional)
Tl (0.204, 0.796, 0.750)
Tl (0.796, 0.204, 0.250)
H (0.016, 0.165, 0.938)
H (0.158, 0.447, 0.789)
H (0.165, 0.016, 0.438)
H (0.221, 0.333, 0.475)
H (0.333, 0.221, 0.975)
H (0.447, 0.158, 0.289)
H (0.553, 0.842, 0.711)
H (0.667, 0.779, 0.025)
H (0.779, 0.667, 0.525)
H (0.835, 0.984, 0.562)
H (0.842, 0.553, 0.211)
H (0.984, 0.835, 0.062)
Rh (0.142, 0.212, 0.698)
Rh (0.212, 0.142, 0.198)
Rh (0.788, 0.858, 0.802)
Rh (0.858, 0.788, 0.302)
Pb (0.397, 0.603, 0.250)
Pb (0.603, 0.397, 0.750)

Values from the calculation:
theoretical density	8.44	Mg/m³
raw total energy	-4.05	eV/atom

***

(7)
The following is a DFT calculation (PBE) of a relaxed structure of LiCa2Mg.

Cell: 6.210 6.210 6.210 Å, 132.97 132.97 68.71°
Element x y z (fractional)
Li (0.000, 0.000, 0.000)
Ca (0.500, 0.500, 0.000)
Ca (0.750, 0.250, 0.500)
Mg (0.250, 0.750, 0.500)

Values from the calculation:
theoretical density	1.47	Mg/m³
raw total energy	-1.84	eV/atom
calculated formation energy	0.035	eV per atom

***

(8)
The following is a DFT calculation (PBE) of a relaxed structure of MgZrTl2.

Cell: 3.256 3.256 10.547 Å, 90.00 90.00 114.74°
Element x y z (fractional)
Mg (0.000, 0.000, 0.000)
Zr (0.500, 0.500, 0.236)
Tl (0.000, 0.000, 0.479)
Tl (0.500, 0.500, 0.744)

Values from the calculation:
theoretical density	8.57	Mg/m³
raw total energy	-3.61	eV/atom
calculated formation energy	0.113	eV per atom

***

(9)
The following is a DFT calculation (PBE) of a relaxed structure of DyTh2Al12Fe3.

Cell: 7.925 7.925 7.925 Å, 64.60 64.60 64.60°
Element x y z (fractional)
Dy (0.000, 0.000, 0.000)
Th (0.418, 0.418, 0.418)
Th (0.582, 0.582, 0.582)
Al (0.096, 0.726, 0.726)
Al (0.163, 0.163, 0.525)
Al (0.163, 0.525, 0.163)
Al (0.274, 0.274, 0.904)
Al (0.274, 0.904, 0.274)
Al (0.475, 0.837, 0.837)
Al (0.525, 0.163, 0.163)
Al (0.726, 0.096, 0.726)
Al (0.726, 0.726, 0.096)
Al (0.837, 0.475, 0.837)
Al (0.837, 0.837, 0.475)
Al (0.904, 0.274, 0.274)
Fe (0.000, 0.000, 0.500)
Fe (0.000, 0.500, 0.000)
Fe (0.500, 0.000, 0.000)

Values from the calculation:
theoretical density	4.79	Mg/m³
raw total energy	-4.80	eV/atom
calculated formation energy	0.189	eV per atom

***

(10)
The following is a DFT calculation (PBE) of a relaxed structure of CaZnGa.

Cell: 4.512 4.512 3.686 Å, 90.00 90.00 120.00°
Element x y z (fractional)
Ca (0.000, 0.000, 0.000)
Zn (0.333, 0.667, 0.500)
Ga (0.667, 0.333, 0.500)

Values from the calculation:
theoretical density	4.48	Mg/m³
raw total energy	-2.52	eV/atom
calculated formation energy	-0.415	eV per atom

***

(11)
The following is a DFT calculation (PBE) of a relaxed structure of CsPr2Au2O6.

Cell: 6.712 6.924 6.935 Å, 94.22 116.29 116.71°
Element x y z (fractional)
Cs (0.000, 0.000, 0.000)
Pr (0.370, 0.686, 0.041)
Pr (0.630, 0.314, 0.959)
Au (0.100, 0.759, 0.472)
Au (0.900, 0.241, 0.528)
O (0.094, 0.602, 0.196)
O (0.269, 0.344, 0.792)
O (0.418, 0.895, 0.786)
O (0.582, 0.105, 0.214)
O (0.731, 0.656, 0.208)
O (0.906, 0.398, 0.804)

Values from the calculation:
theoretical density	6.19	Mg/m³
raw total energy	-5.80	eV/atom
E_form (uncorrected)	-1.557	eV per atom

***

(12)
The following is a DFT calculation (PBE) of a relaxed structure of SrGa3Pt.

Cell: 4.931 4.931 4.931 Å, 90.00 90.00 90.00°
Element x y z (fractional)
Sr (0.000, 0.000, 0.000)
Ga (0.000, 0.500, 0.500)
Ga (0.500, 0.000, 0.500)
Ga (0.500, 0.500, 0.000)
Pt (0.500, 0.500, 0.500)

Values from the calculation:
theoretical density	6.81	Mg/m³
raw total energy	-3.72	eV/atom
calculated formation energy	-0.360	eV per atom